No. 1
ReAg2Pb after structural relaxation, computed with PBE.

Lattice parameters (Å, degrees): 10.102 10.102 10.102 17.10 17.10 17.10
Positions (direct):
Re1 0.000 0.000 0.000
Ag1 0.486 0.486 0.486
Ag2 0.742 0.742 0.742
Pb1 0.249 0.249 0.249

Magnetization, μB per cell: 0.00
ΔE_f, eV/atom: 0.6662


No. 2
ZnAg2Ru after structural relaxation, computed with PBE.

Lattice parameters (Å, degrees): 5.547 5.547 5.547 150.78 129.73 59.21
Positions (direct):
Zn1 0.000 0.000 0.000
Ag1 0.240 0.740 0.500
Ag2 0.760 0.260 0.500
Ru1 0.500 0.500 0.000

Magnetization, μB per cell: 0.00
ΔE_f, eV/atom: 0.2824


No. 3
Tl2Cu2Hg after structural relaxation, computed with PBE.

Lattice parameters (Å, degrees): 9.902 9.902 9.902 159.79 159.79 28.73
Positions (direct):
Tl1 0.126 0.126 0.000
Tl2 0.874 0.874 0.000
Cu1 0.250 0.750 0.500
Cu2 0.750 0.250 0.500
Hg1 0.500 0.500 0.000

Magnetization, μB per cell: 0.00
ΔE_f, eV/atom: 0.1980
Energy relative to the lowest polymorph listed for this composition, meV per atom: 0


No. 4
TaMoPtI2 after structural relaxation, computed with PBE.

Lattice parameters (Å, degrees): 5.205 5.205 4.964 90.00 90.00 90.00
Positions (direct):
Ta1 0.000 0.000 0.000
Mo1 0.000 0.000 0.500
Pt1 0.500 0.500 0.000
I1 0.000 0.500 0.500
I2 0.500 0.000 0.500

Magnetization, μB per cell: 0.02
Formation energy without anion corrections, kcal/mol of atoms: 35.9


No. 5
Sr2CaDy after structural relaxation, computed with PBE.

Lattice parameters (Å, degrees): 14.022 14.022 14.022 15.74 15.74 15.74
Positions (direct):
Sr1 0.086 0.086 0.086
Sr2 0.914 0.914 0.914
Ca1 0.500 0.500 0.500
Dy1 0.000 0.000 0.000

Magnetization, μB per cell: 0.62
ΔE_f, eV/atom: 0.3044
Energy relative to the lowest polymorph listed for this composition, meV per atom: 151


No. 6
PuAgC2O8 after structural relaxation, computed with PBE.

Lattice parameters (Å, degrees): 5.083 5.083 7.562 101.24 101.24 64.90
Positions (direct):
Pu1 0.000 0.000 0.000
Ag1 0.000 0.000 0.500
C1 0.383 0.383 0.717
C2 0.617 0.617 0.283
O1 0.202 0.202 0.984
O2 0.246 0.655 0.785
O3 0.265 0.265 0.583
O4 0.345 0.754 0.215
O5 0.655 0.246 0.785
O6 0.735 0.735 0.417
O7 0.754 0.345 0.215
O8 0.798 0.798 0.016

Magnetization, μB per cell: 0.94
Formation energy without anion corrections, kcal/mol of atoms: -32.8


No. 7
K2Zn2Si after structural relaxation, computed with PBE.

Lattice parameters (Å, degrees): 6.274 6.274 8.154 98.23 98.23 62.73
Positions (direct):
K1 0.050 0.256 0.158
K2 0.256 0.050 0.658
K3 0.744 0.950 0.342
K4 0.950 0.744 0.842
Zn1 0.273 0.495 0.497
Zn2 0.495 0.273 0.997
Zn3 0.505 0.727 0.003
Zn4 0.727 0.505 0.503
Si1 0.418 0.582 0.250
Si2 0.582 0.418 0.750

Magnetization, μB per cell: 0.00
Energy relative to the lowest polymorph listed for this composition, meV per atom: 0
Formation energy without anion corrections, kcal/mol of atoms: 1.6


No. 8
KNaPb4 after structural relaxation, computed with PBE.

Lattice parameters (Å, degrees): 6.699 6.699 6.699 60.00 60.00 60.00
Positions (direct):
K1 0.000 0.000 0.000
Na1 0.750 0.750 0.750
Pb1 0.375 0.375 0.375
Pb2 0.375 0.375 0.874
Pb3 0.375 0.874 0.375
Pb4 0.874 0.375 0.375

Magnetization, μB per cell: 0.00
ΔE_f, eV/atom: -0.0826
Energy relative to the lowest polymorph listed for this composition, meV per atom: 26


No. 9
Pr3Tl2O after structural relaxation, computed with PBE.

Lattice parameters (Å, degrees): 7.868 7.868 7.267 98.75 98.75 50.55
Positions (direct):
Pr1 0.094 0.906 0.750
Pr2 0.285 0.469 0.368
Pr3 0.469 0.285 0.868
Pr4 0.531 0.715 0.132
Pr5 0.715 0.531 0.632
Pr6 0.906 0.094 0.250
Tl1 0.100 0.264 0.039
Tl2 0.264 0.100 0.539
Tl3 0.736 0.900 0.461
Tl4 0.900 0.736 0.961
O1 0.438 0.562 0.750
O2 0.562 0.438 0.250

Magnetization, μB per cell: 0.00
Formation energy without anion corrections, kcal/mol of atoms: -24.5